# AcHfCu2

AcHfCu2 after structural relaxation (PBE-GGA, Alexandria).

- Energy relative to the elements: 0.2298 eV per atom
- Final energy: -5.3337 eV per atom
- Relative energy among the computed polymorphs: 246 meV per atom
- DOS(E_F): 0.794 states/eV per atom

a b c (Å): 8.197 8.197 8.197
angles (deg): 26.01 26.01 26.01
Fractional coordinates of all 4 atoms:
Ac: 0.000 0.000 0.000
Hf: 0.500 0.500 0.500
Cu: 0.235 0.235 0.235
Cu: 0.765 0.765 0.765